# TlFeTc2O8, relaxed, DFT PBE+U
data_TlFeTc2O8
_chemical_formula_sum 'Tl2 Fe2 Tc4 O16'
_symmetry_space_group_name_H-M 'C 1 2/m 1'
_symmetry_Int_Tables_number 12
_cell_length_a 9.3754
_cell_length_b 5.8481
_cell_length_c 8.0861
_cell_angle_alpha 90.00
_cell_angle_beta 92.75
_cell_angle_gamma 90.00
loop_
_symmetry_equiv_pos_as_xyz
'x,y,z'
'-x,-y,-z'
'-x,y,-z'
'x,-y,z'
'x+1/2,y+1/2,z'
'-x+1/2,-y+1/2,-z'
'-x+1/2,y+1/2,-z'
'x+1/2,-y+1/2,z'
loop_
_atom_site_label
_atom_site_fract_x
_atom_site_fract_y
_atom_site_fract_z
_atom_site_occupancy
Tl1 0.0000 0.0000 0.0000 1
Fe1 0.0000 0.0000 0.5000 1
Tc1 0.1368 0.5000 0.2870 1
O1 0.0324 0.2491 0.3146 1
O2 0.1946 0.5000 0.0851 1
O3 0.2172 0.0000 0.5689 1
# Uncorrected energy   -7.0472 eV/atom
# Magnetization   5.9 μB/cell